Sb2PIr | PBE | optimized geometry

```
Sb2PIr
1.0
-2.7252 2.7252 2.8107
2.7252 -2.7252 2.8107
2.7252 2.7252 -2.8107
Sb P Ir
2 1 1
Direct
0.0000 0.5000 0.5000 Sb
0.5000 0.0000 0.5000 Sb
0.0000 0.0000 0.0000 P
0.5000 0.5000 0.0000 Ir
```

formation energy from raw total energies: 0.27 eV/atom



SbP4Ir | PBE | optimized geometry

```
SbP4Ir
1.0
0.0000 3.6737 3.6737
3.6737 0.0000 3.6737
3.6737 3.6737 0.0000
Sb P Ir
1 4 1
Direct
0.0000 0.0000 0.0000 Sb
0.3829 0.3829 0.3829 P
0.3829 0.3829 0.8513 P
0.3829 0.8513 0.3829 P
0.8513 0.3829 0.3829 P
0.7500 0.7500 0.7500 Ir
```

formation energy from raw total energies: 0.90 eV/atom



Please write out number 1 again, unchanged.
Sb2PIr | PBE | optimized geometry

```
Sb2PIr
1.0
-2.7252 2.7252 2.8107
2.7252 -2.7252 2.8107
2.7252 2.7252 -2.8107
Sb P Ir
2 1 1
Direct
0.0000 0.5000 0.5000 Sb
0.5000 0.0000 0.5000 Sb
0.0000 0.0000 0.0000 P
0.5000 0.5000 0.0000 Ir
```

formation energy from raw total energies: 0.27 eV/atom



Question: formation energy from raw total energies of number 2 (SbP4Ir)?
Answer: 0.90 eV/atom